No. 1
DFT (PBE) results for a relaxed structure of Ca2IrCl.

Output
Excess energy over the best structure of this formula in the dataset (kJ/mol of atoms): 12.08
DOS(E_F) (states/eV per cell): 0.75
Uncorrected energy (eV for the cell shown): -18.2
Magnetic moment (Bohr magnetons per cell): 0.00
Calculated volume (Å³ per atom): 23.526
Raw formation energy (eV/f.u.): -3.5
Space-group type: No. 47

Lattice parameters (Å, degrees): 3.6177 4.5858 5.6724 90.00 90.00 90.00
With the nearest neighbours (Å) after each atom.
Element x y z (fractional)
1 Ca 0.0000 0.0000 0.8752  2 Cl 2.84, 4 Ir 2.92
2 Ca 0.5000 0.5000 0.3745  2 Ir 2.83-2.84, 4 Cl 2.92
3 Cl 0.0000 0.0000 0.3753  6 Ca 2.84-2.92
4 Ir 0.5000 0.5000 0.8750  6 Ca 2.83-2.92

---

No. 2
DFT (PBE) results for a relaxed structure of CaIrCl2.

Output
Excess energy over the best structure of this formula in the dataset (kJ/mol of atoms): 81.62
DOS(E_F) (states/eV per cell): 5.16
Uncorrected energy (eV for the cell shown): -14.3
Magnetic moment (Bohr magnetons per cell): 1.11
Calculated volume (Å³ per atom): 20.736
Raw formation energy (eV/f.u.): 0.3
Space-group type: No. 216

Lattice parameters (Å, degrees): 4.8951 4.8951 4.8951 60.00 60.00 60.00
With the nearest neighbours (Å) after each atom.
Element x y z (fractional)
1 Ca 0.5000 0.5000 0.5000  4 Cl 3.00, 4 Ir 3.00
2 Cl 0.7500 0.7500 0.7500  4 Cl 3.00, 4 Ca 3.00
3 Cl 0.0000 0.0000 0.0000  4 Ir 3.00, 4 Cl 3.00
4 Ir 0.2500 0.2500 0.2500  4 Cl 3.00, 4 Ca 3.00

---

No. 3
DFT (PBE) results for a relaxed structure of CaIrCl2.

Output
Excess energy over the best structure of this formula in the dataset (kJ/mol of atoms): 43.84
DOS(E_F) (states/eV per cell): 3.19
Uncorrected energy (eV for the cell shown): -15.8
Magnetic moment (Bohr magnetons per cell): 1.83
Calculated volume (Å³ per atom): 28.545
Raw formation energy (eV/f.u.): -1.3
Space-group type: No. 123

Lattice parameters (Å, degrees): 3.1619 3.1620 11.4204 90.00 90.00 90.05
With the nearest neighbours (Å) after each atom.
Element x y z (fractional)
1 Ir 0.5000 0.5000 0.2500  4 Ir 3.16
2 Cl 0.0000 0.0000 0.8928  4 Ca 2.77
3 Cl 0.0000 0.0000 0.6072  4 Ca 2.77
4 Ca 0.5000 0.5000 0.7500  8 Cl 2.77

---

No. 4
DFT (PBE) results for a relaxed structure of Ca2IrCl.

Output
Excess energy over the best structure of this formula in the dataset (kJ/mol of atoms): 0.00
DOS(E_F) (states/eV per cell): 0.93
Uncorrected energy (eV for the cell shown): -18.7
Magnetic moment (Bohr magnetons per cell): 0.00
Calculated volume (Å³ per atom): 22.184
Raw formation energy (eV/f.u.): -4.0
Space-group type: No. 123

Lattice parameters (Å, degrees): 3.4027 3.4033 7.6628 90.00 90.00 90.00
With the nearest neighbours (Å) after each atom.
Element x y z (fractional)
1 Cl 0.5000 0.5000 0.2500  8 Ca 3.21, 4 Cl 3.40
2 Ir 0.5000 0.5000 0.7500  8 Ca 2.95
3 Ca 0.0000 0.0000 0.5273  4 Ir 2.95, 4 Cl 3.21
4 Ca 0.0000 0.0000 0.9727  4 Ir 2.95, 4 Cl 3.21

---

No. 5
DFT (PBE) results for a relaxed structure of Ca2IrCl.

Output
Excess energy over the best structure of this formula in the dataset (kJ/mol of atoms): 12.92
DOS(E_F) (states/eV per cell): 1.10
Uncorrected energy (eV for the cell shown): -18.2
Magnetic moment (Bohr magnetons per cell): 0.00
Calculated volume (Å³ per atom): 22.332
Raw formation energy (eV/f.u.): -3.5
Space-group type: No. 38

Lattice parameters (Å, degrees): 5.6436 5.6436 4.8221 90.00 90.00 35.57
With the nearest neighbours (Å) after each atom.
Element x y z (fractional)
1 Ir 0.2650 0.2650 0.1250  7 Ca 2.82-3.09
2 Ca 0.7459 0.7459 0.6250  3 Cl 2.79-3.10, 4 Ir 2.97
3 Ca 0.0030 0.0030 0.1250  3 Ir 2.82-3.09, 4 Cl 2.97
4 Cl 0.4861 0.4861 0.6250  7 Ca 2.79-3.10

---

No. 6
DFT (PBE) results for a relaxed structure of CaIrCl2.

Output
Excess energy over the best structure of this formula in the dataset (kJ/mol of atoms): 48.16
DOS(E_F) (states/eV per cell): 5.12
Uncorrected energy (eV for the cell shown): -15.7
Magnetic moment (Bohr magnetons per cell): 2.06
Calculated volume (Å³ per atom): 29.730
Raw formation energy (eV/f.u.): -1.1
Space-group type: No. 166

Lattice parameters (Å, degrees): 11.4702 11.4702 11.4702 17.49 17.49 17.49
With the nearest neighbours (Å) after each atom.
Element x y z (fractional)
1 Ir 0.2500 0.2500 0.2500  6 Ir 3.49
2 Cl 0.4671 0.4671 0.4671  3 Ca 2.64
3 Cl 0.0329 0.0329 0.0329  3 Ca 2.64
4 Ca 0.7500 0.7500 0.7500  6 Cl 2.64

---

No. 7
DFT (PBE) results for a relaxed structure of CaIrCl2.

Output
Excess energy over the best structure of this formula in the dataset (kJ/mol of atoms): 13.56
DOS(E_F) (states/eV per cell): 0.98
Uncorrected energy (eV for the cell shown): -17.1
Magnetic moment (Bohr magnetons per cell): 0.94
Calculated volume (Å³ per atom): 26.028
Raw formation energy (eV/f.u.): -2.5
Space-group type: No. 71

Lattice parameters (Å, degrees): 6.6017 6.6017 6.6017 145.85 139.55 53.95
With the nearest neighbours (Å) after each atom.
Element x y z (fractional)
1 Ir 0.2500 0.7500 0.5000  4 Cl 2.54
2 Ca 0.7500 0.2500 0.5000  4 Cl 2.81, 4 Ir 2.99
3 Cl 0.1106 0.1106 0.0000  2 Ir 2.54, 2 Ca 2.81
4 Cl 0.3894 0.3894 0.0000  2 Ir 2.54, 2 Ca 2.81

---

No. 8
DFT (PBE) results for a relaxed structure of CaIrCl6.

Output
Excess energy over the best structure of this formula in the dataset (kJ/mol of atoms): 3.33
DOS(E_F) (states/eV per cell): 7.31
Uncorrected energy (eV for the cell shown): -30.7
Magnetic moment (Bohr magnetons per cell): 0.93
Calculated volume (Å³ per atom): 25.248
Raw formation energy (eV/f.u.): -8.7
Space-group type: No. 148

Lattice parameters (Å, degrees): 6.3618 6.3626 6.8330 62.26 62.25 60.00
With the nearest neighbours (Å) after each atom.
Element x y z (fractional)
1 Ir 0.0000 0.0000 0.0000  6 Cl 2.34
2 Cl 0.7869 0.0542 0.7682  1 Ir 2.34
3 Cl 0.2131 0.9458 0.2318  1 Ir 2.34
4 Cl 0.9459 0.6093 0.2318  1 Ir 2.34
5 Cl 0.3907 0.7870 0.7681  1 Ir 2.34
6 Cl 0.0541 0.3907 0.7682  1 Ir 2.34
7 Cl 0.6093 0.2130 0.2319  1 Ir 2.34
8 Ca 0.5000 0.5000 0.5000  6 Cl 2.80

---

No. 9
DFT (PBE) results for a relaxed structure of Ca2IrCl.

Output
Excess energy over the best structure of this formula in the dataset (kJ/mol of atoms): 43.05
DOS(E_F) (states/eV per cell): 0.92
Uncorrected energy (eV for the cell shown): -16.9
Magnetic moment (Bohr magnetons per cell): 0.00
Calculated volume (Å³ per atom): 23.232
Raw formation energy (eV/f.u.): -2.2
Space-group type: No. 119

Lattice parameters (Å, degrees): 6.3828 6.3828 6.3828 143.15 143.15 53.09
With the nearest neighbours (Å) after each atom.
Element x y z (fractional)
1 Ir 0.7500 0.2500 0.5000  4 Ca 2.85
2 Ca 0.0000 0.0000 0.0000  4 Cl 2.85
3 Ca 0.2500 0.7500 0.5000  4 Ir 2.85
4 Cl 0.5000 0.5000 0.0000  4 Ca 2.85

---

No. 10
DFT (PBE) results for a relaxed structure of CaIrCl2.

Output
Excess energy over the best structure of this formula in the dataset (kJ/mol of atoms): 25.11
DOS(E_F) (states/eV per cell): 4.03
Uncorrected energy (eV for the cell shown): -16.6
Magnetic moment (Bohr magnetons per cell): 0.00
Calculated volume (Å³ per atom): 21.803
Raw formation energy (eV/f.u.): -2.1
Space-group type: No. 69

Lattice parameters (Å, degrees): 5.0109 5.0109 4.7836 64.11 64.11 99.61
With the nearest neighbours (Å) after each atom.
Element x y z (fractional)
1 Ir 0.5000 0.0000 0.5000  4 Cl 2.60
2 Cl 0.0000 0.0000 0.0000  2 Ir 2.60, 2 Ca 2.60
3 Cl 0.5000 0.5000 0.0000  2 Ca 2.60, 2 Ir 2.60
4 Ca 0.0000 0.5000 0.5000  4 Cl 2.60

---

No. 11
DFT (PBE) results for a relaxed structure of CaIrCl2.

Output
Excess energy over the best structure of this formula in the dataset (kJ/mol of atoms): 15.70
DOS(E_F) (states/eV per cell): 1.88
Uncorrected energy (eV for the cell shown): -17.0
Magnetic moment (Bohr magnetons per cell): 0.00
Calculated volume (Å³ per atom): 23.920
Raw formation energy (eV/f.u.): -2.5
Space-group type: No. 8

Lattice parameters (Å, degrees): 7.8788 7.8788 3.9913 75.40 75.40 23.56
With the nearest neighbours (Å) after each atom.
Element x y z (fractional)
1 Ca 0.1850 0.1850 0.3154  6 Cl 2.83-3.12, 2 Ir 2.86
2 Cl 0.0239 0.0239 0.9755  4 Ir 2.56
3 Cl 0.7647 0.7647 0.7360  4 Ca 2.83
4 Ir 0.5264 0.5264 0.4731  4 Cl 2.56, 2 Ca 2.86

---

No. 12
DFT (PBE) results for a relaxed structure of CaIrCl2.

Output
Excess energy over the best structure of this formula in the dataset (kJ/mol of atoms): 0.00
DOS(E_F) (states/eV per cell): 3.12
Uncorrected energy (eV for the cell shown): -17.7
Magnetic moment (Bohr magnetons per cell): 0.44
Calculated volume (Å³ per atom): 27.970
Raw formation energy (eV/f.u.): -3.1
Space-group type: No. 12

Lattice parameters (Å, degrees): 6.8814 6.8814 4.9889 91.13 91.13 28.27
With the nearest neighbours (Å) after each atom.
Element x y z (fractional)
1 Cl 0.8918 0.8918 0.0224  1 Ir 2.31
2 Cl 0.6082 0.6082 0.4776  1 Ir 2.31
3 Ir 0.7500 0.7500 0.7500  2 Cl 2.31
4 Ca 0.2500 0.2500 0.2500  4 Cl 2.79, 4 Ir 3.01

---

No. 13
DFT (PBE) results for a relaxed structure of Ca2IrCl.

Output
Excess energy over the best structure of this formula in the dataset (kJ/mol of atoms): 84.63
Uncorrected energy (eV for the cell shown): -15.2
Magnetic moment (Bohr magnetons per cell): 0.00
Calculated volume (Å³ per atom): 21.800
Raw formation energy (eV/f.u.): -0.5
Space-group type: No. 216

Lattice parameters (Å, degrees): 4.9775 4.9775 4.9775 60.00 60.00 60.00
With the nearest neighbours (Å) after each atom.
Element x y z (fractional)
1 Ca 0.0000 0.0000 0.0000  4 Ir 3.05, 4 Ca 3.05
2 Ca 0.2500 0.2500 0.2500  4 Cl 3.05, 4 Ca 3.05
3 Ir 0.7500 0.7500 0.7500  4 Cl 3.05, 4 Ca 3.05
4 Cl 0.5000 0.5000 0.5000  4 Ir 3.05, 4 Ca 3.05

---

No. 14
DFT (PBE) results for a relaxed structure of CaIrCl2.

Output
Excess energy over the best structure of this formula in the dataset (kJ/mol of atoms): 8.55
DOS(E_F) (states/eV per cell): 2.00
Uncorrected energy (eV for the cell shown): -17.3
Magnetic moment (Bohr magnetons per cell): 0.19
Calculated volume (Å³ per atom): 24.306
Raw formation energy (eV/f.u.): -2.7
Space-group type: No. 38

Lattice parameters (Å, degrees): 3.6697 4.1186 6.7548 72.23 90.00 90.00
With the nearest neighbours (Å) after each atom.
Element x y z (fractional)
1 Ca 0.5000 0.7003 0.7243  4 Ir 2.99, 6 Cl 3.02-3.34
2 Cl 0.5000 0.4046 0.3155  2 Ir 2.36
3 Cl 0.0000 0.1056 0.9142  1 Ir 2.37
4 Ir 0.0000 0.2895 0.5460  3 Cl 2.36-2.37